Below is a geometry-optimized Rb5AuBr4 structure, with properties calculated at the PBE level.

```
10
Lattice="-1.6639 0.0188 4.6812 4.5951 -0.9420 1.6371 1.6965 17.7203 -2.1045" Properties=species:S:1:pos:R:3 pbc="T T T"
Rb 1.8965 10.3510 0.6325
Rb 3.9890 13.3109 4.0008
Au 0.0000 0.0000 0.0000
Br 2.5275 13.7948 0.8430
Br 2.1002 3.0023 3.3708
Br 3.3606 9.8815 3.7912
Rb 0.6387 3.4862 0.2130
Rb 1.4656 -0.4616 3.1592
Br 1.2671 6.9156 0.4226
Rb 2.7312 6.4461 3.5813
```

Summary:
E_form (uncorrected), eV per atom: -1.45
Calculated volume, A^3/atom: 43.386
Total magnetic moment, μB per atom: 0.00
Calculated total energy, eV/atom: -2.931
Fermi-level density of states, states/eV per cell: 0.000



Below is a geometry-optimized Rb2AuBr structure, with properties calculated at the PBE level.

```
4
Lattice="-5.5045 5.7648 5.7540 2.7535 -6.9744 6.3574 5.3309 6.9081 -4.5278" Properties=species:S:1:pos:R:3 pbc="T T T"
Rb -0.1305 9.5304 0.9222
Br 0.0000 0.0000 0.0000
Rb -0.0430 3.1425 0.3041
Au -0.0868 6.3364 0.6131
```

Summary:
E_form (uncorrected), eV per atom: -0.59
Calculated volume, A^3/atom: 164.637
Total magnetic moment, μB per atom: 0.00
Calculated total energy, eV/atom: -2.310
Distance to the lowest polymorph of the same formula, meV per atom: 424
Fermi-level density of states, states/eV per cell: 0.000



Below is a geometry-optimized RbAuBr3 structure, with properties calculated at the PBE level.

```
10
Lattice="7.4949 -0.0018 -0.0036 -3.7491 6.4854 0.1107 -0.0009 -4.0535 7.3352" Properties=species:S:1:pos:R:3 pbc="T T T"
Rb 3.7494 2.0253 1.7131
Rb -0.0044 0.4048 5.7293
Br -1.9792 5.2906 1.4311
Br 5.7241 -2.8604 6.0112
Br 1.9793 5.2847 1.4269
Br 1.7656 -2.8545 6.0154
Au 3.7470 -2.0276 3.6658
Br -0.0043 2.2394 2.7238
Br 3.7492 0.1908 4.7185
Au 0.0000 0.0000 0.0000
```

Summary:
E_form (uncorrected), eV per atom: -0.84
Calculated volume, A^3/atom: 35.981
Total magnetic moment, μB per atom: 0.00
Calculated total energy, eV/atom: -2.695
Fermi-level density of states, states/eV per cell: 0.000



Below is a geometry-optimized Rb9Au3Br2 structure, with properties calculated at the PBE level.

```
14
Lattice="5.8666 0.0000 -0.8226 -0.1153 5.8655 -0.8226 -0.0127 -0.0129 21.2413" Properties=species:S:1:pos:R:3 pbc="T T T"
Rb 3.4642 3.5330 3.3751
Rb 2.2744 2.3196 16.2210
Au 4.3648 1.4599 9.7981
Rb 1.1253 1.1476 8.0255
Br 3.2134 0.2857 1.5865
Rb 4.6133 4.7049 11.5706
Au 0.7790 3.7860 5.5560
Rb 2.8756 2.9327 -0.8226
Rb 1.7054 1.7393 12.1631
Br 5.5162 2.6341 18.0096
Au 1.9686 4.9993 14.0401
Rb 0.5301 0.5406 3.7807
Rb 4.0332 4.1133 7.4330
Rb 5.2085 5.3119 15.8154
```

Summary:
E_form (uncorrected), eV per atom: -0.56
Calculated volume, A^3/atom: 52.200
Total magnetic moment, μB per atom: 0.10
Calculated total energy, eV/atom: -2.121
Fermi-level density of states, states/eV per cell: 10.037



Below is a geometry-optimized Rb8Au5Br structure, with properties calculated at the PBE level.

```
14
Lattice="-1.7541 -4.9431 -7.4673 2.6441 -5.5210 6.7675 -7.5404 4.4840 2.5118" Properties=species:S:1:pos:R:3 pbc="T T T"
Rb -4.7854 -0.9477 -0.5063
Rb -2.2428 -4.7362 -2.5916
Au 0.4450 -5.2321 -0.3499
Au 1.0561 -6.7857 4.2690
Rb -1.7683 -6.1683 2.2424
Rb -5.8242 2.6141 1.0802
Au -7.4884 -1.7578 -2.6284
Rb -0.5865 -8.3839 -2.1083
Rb -5.5288 -3.8860 3.4997
Rb -1.3611 -2.3045 1.1525
Au -4.3594 -4.3816 0.2119
Au -2.5090 0.9648 1.7715
Rb -4.5041 -0.1081 4.4796
Br -2.2256 -3.1345 4.4647
```

Summary:
E_form (uncorrected), eV per atom: -0.44
Calculated volume, A^3/atom: 41.783
Total magnetic moment, μB per atom: 0.00
Calculated total energy, eV/atom: -2.288
Fermi-level density of states, states/eV per cell: 9.685



Below is a geometry-optimized Rb4AuBr5 structure, with properties calculated at the PBE level.

```
10
Lattice="6.9564 0.0000 0.0000 3.4782 7.5235 0.0000 3.4782 0.0000 7.5235" Properties=species:S:1:pos:R:3 pbc="T T T"
Br 3.2439 0.0000 0.0000
Br 10.3941 2.6789 6.1630
Rb 6.9210 2.9705 5.9937
Rb 10.3992 5.9937 4.5530
Br 6.9159 1.3604 2.6789
Rb 3.4428 1.5297 2.9705
Au 0.6096 0.0000 0.0000
Br 3.4377 4.8445 1.3604
Rb 6.9210 4.5530 1.5297
Br 6.9159 6.1630 4.8445
```

Summary:
E_form (uncorrected), eV per atom: -1.32
Calculated volume, A^3/atom: 39.375
Total magnetic moment, μB per atom: 0.00
Calculated total energy, eV/atom: -2.870
Fermi-level density of states, states/eV per cell: 0.000